{
  "formula": "CaTa2S4",
  "functional": "PBE",
  "state": "relaxed",
  "e_form_raw_ev_per_atom": -1.1305,
  "cell": [[6.841, 0.248, -1.909], [-2.374, 6.135, -2.689], [-0.356, -0.794, 7.451]],
  "species": ["S", "S", "S", "S", "S", "S", "S", "S", "Ta", "Ta", "Ta", "Ta", "Ca", "Ca"],
  "frac_coords": [[0.917, 0.144, 0.257], [0.288, 0.156, 0.727], [0.772, 0.088, 0.689], [0.414, 0.649, 0.833], [0.887, 0.660, 0.743], [0.429, 0.561, 0.273], [0.816, 0.581, 0.167], [0.399, 0.082, 0.311], [0.021, 0.348, 0.658], [0.690, 0.363, 0.342], [0.657, 0.898, 0.284], [0.614, 0.373, 0.716], [0.129, 0.129, 0.000], [0.217, 0.717, 0.500]]
}

{
  "formula": "Ca2TaS",
  "functional": "PBE",
  "state": "relaxed",
  "e_form_raw_ev_per_atom": 0.0035,
  "cell": [[-4.558, -8.721, -0.846], [0.889, 0.488, -9.825], [0.234, -5.211, -5.203]],
  "species": ["Ta", "Ta", "Ca", "Ca", "Ca", "Ca", "S", "S"],
  "frac_coords": [[0.000, 0.000, 0.000], [0.750, 0.250, 0.500], [0.262, 0.625, 0.250], [0.875, 0.738, 0.750], [0.488, 0.125, 0.250], [0.375, 0.512, 0.750], [0.250, 0.750, 0.500], [0.500, 0.500, 0.000]]
}

{
  "formula": "CaTa2S2",
  "functional": "PBE",
  "state": "relaxed",
  "e_form_raw_ev_per_atom": -0.4620,
  "polymorph_energy_mev_per_atom": 0,
  "cell": [[-1.261, 4.209, -1.772], [-4.336, -1.680, -0.906], [-4.129, 2.546, 2.651]],
  "species": ["Ta", "Ta", "S", "S", "Ca"],
  "frac_coords": [[0.360, 0.360, 0.280], [0.640, 0.640, 0.720], [0.250, 0.750, 0.500], [0.750, 0.250, 0.500], [0.000, 0.000, 0.000]]
}

{
  "formula": "CaTa2S2",
  "functional": "PBE",
  "state": "relaxed",
  "e_form_raw_ev_per_atom": 0.0823,
  "polymorph_energy_mev_per_atom": 544,
  "cell": [[7.583, 0.000, 0.000], [0.000, 7.583, 0.000], [0.000, 0.000, 3.032]],
  "species": ["Ca", "Ca", "Ta", "Ta", "Ta", "Ta", "S", "S", "S", "S"],
  "frac_coords": [[0.000, 0.000, 0.000], [0.500, 0.500, 0.000], [0.634, 0.134, 0.000], [0.134, 0.366, 0.000], [0.366, 0.866, 0.000], [0.866, 0.634, 0.000], [0.845, 0.345, 0.500], [0.345, 0.155, 0.500], [0.155, 0.655, 0.500], [0.655, 0.845, 0.500]]
}

{
  "formula": "CaTaS2",
  "functional": "PBE",
  "state": "relaxed",
  "e_form_raw_ev_per_atom": -0.6091,
  "polymorph_energy_mev_per_atom": 214,
  "cell": [[-3.130, -0.500, 7.683], [-2.354, -4.042, 6.870], [0.329, -1.789, 8.110]],
  "species": ["Ca", "Ta", "S", "S"],
  "frac_coords": [[0.500, 0.500, 0.500], [0.000, 0.000, 0.000], [0.903, 0.903, 0.903], [0.097, 0.097, 0.097]]
}

{
  "formula": "CaTaS2",
  "functional": "PBE",
  "state": "relaxed",
  "e_form_raw_ev_per_atom": -0.8233,
  "polymorph_energy_mev_per_atom": 0,
  "cell": [[2.011, 0.000, 8.627], [-1.006, 1.742, 8.627], [-1.006, -1.742, 8.627]],
  "species": ["Ca", "S", "S", "Ta"],
  "frac_coords": [[0.000, 0.000, 0.000], [0.892, 0.892, 0.892], [0.108, 0.108, 0.108], [0.500, 0.500, 0.500]]
}

{
  "formula": "CaTaS2",
  "functional": "PBE",
  "state": "relaxed",
  "e_form_raw_ev_per_atom": -0.7488,
  "polymorph_energy_mev_per_atom": 74,
  "cell": [[-0.464, -3.395, -3.044], [-3.032, -3.354, 0.752], [-3.791, -0.279, -2.561]],
  "species": ["S", "S", "Ta", "Ca"],
  "frac_coords": [[0.750, 0.750, 0.750], [0.250, 0.250, 0.250], [0.500, 0.500, 0.500], [0.000, 0.000, 0.000]]
}

{
  "formula": "CaTa3S",
  "functional": "PBE",
  "state": "relaxed",
  "e_form_raw_ev_per_atom": 2.7680,
  "polymorph_energy_mev_per_atom": 2448,
  "cell": [[4.793, 0.000, 0.000], [0.000, 4.793, 0.000], [0.000, 0.000, 4.793]],
  "species": ["Ta", "Ta", "Ta", "Ca", "S"],
  "frac_coords": [[0.500, 0.000, 0.000], [0.000, 0.500, 0.000], [0.000, 0.000, 0.500], [0.000, 0.000, 0.000], [0.500, 0.500, 0.500]]
}